Record 1
VASP calculation (PBE-GGA) on an optimized crystal structure of Sb2PtAu.

Cell: 6.0850 7.4155 3.7472 Å, 90.00 91.69 90.00°
Space group C2/m (No. 12)
Asymmetric unit:
Sb (0.2500, 0.2500, 0.0000)
Pt (0.0000, 0.0000, 0.5000)
Au (0.0000, 0.5000, 0.5000)

Values from the calculation:
formation energy without anion corrections	0.015	eV/atom
E above lowest polymorph	88	kJ/mol of formula units
size of the total moment	0.00	μB per cell
final energy	-4.376	eV/atom
volume	169.0	Å³/cell

Record 2
VASP calculation (PBE-GGA) on an optimized crystal structure of SmTh2Pd.

Cell: 3.6838 3.6838 8.4032 Å, 90.00 90.00 90.00°
Space group P4/mmm (No. 123)
Asymmetric unit:
Sm (0.0000, 0.0000, 0.0000)
Th (0.5000, 0.5000, 0.2930)
Pd (0.0000, 0.0000, 0.5000)

Values from the calculation:
E above lowest polymorph	40	kJ/mol of formula units
size of the total moment	0.00	μB per cell
calculated formation energy	-273	meV/atom
final energy	-6.461	eV/atom
volume	114.0	Å³/cell

Record 3
VASP calculation (PBE-GGA) on an optimized crystal structure of Rb2Ga2F.

Cell: 7.1951 7.1951 7.1362 Å, 90.00 90.00 90.00°
Space group I4/mmm (No. 139)
Asymmetric unit:
Rb (0.0000, 0.5000, 0.2500)
Ga (0.0000, 0.0000, 0.1829)
F (0.0000, 0.0000, 0.5000)

Values from the calculation:
formation energy without anion corrections	-0.499	eV/atom
E above lowest polymorph	0	kJ/mol of formula units
size of the total moment	1.73	μB per cell
final energy	-2.471	eV/atom
volume	369.4	Å³/cell

Record 4
VASP calculation (PBE-GGA) on an optimized crystal structure of Rb3WCl7.

Cell: 10.6114 15.6226 9.4782 Å, 90.00 90.00 90.00°
Space group C222_1 (No. 20)
Asymmetric unit:
Rb (0.0040, 0.0000, 0.0000)
Rb (0.2336, 0.2721, 0.7506)
W (0.9999, 0.5000, 0.0000)
Cl (0.0000, 0.1400, 0.2500)
Cl (0.0000, 0.1472, 0.7500)
Cl (0.0000, 0.4488, 0.7500)
Cl (0.1580, 0.3972, 0.0455)
Cl (0.1588, 0.3973, 0.4551)

Values from the calculation:
formation energy without anion corrections	-1.382	eV/atom
size of the total moment	8.00	μB per cell
final energy	-3.999	eV/atom
volume	1571.3	Å³/cell

Please write out number 2 again, unchanged.
VASP calculation (PBE-GGA) on an optimized crystal structure of SmTh2Pd.

Cell: 3.6838 3.6838 8.4032 Å, 90.00 90.00 90.00°
Space group P4/mmm (No. 123)
Asymmetric unit:
Sm (0.0000, 0.0000, 0.0000)
Th (0.5000, 0.5000, 0.2930)
Pd (0.0000, 0.0000, 0.5000)

Values from the calculation:
E above lowest polymorph	40	kJ/mol of formula units
size of the total moment	0.00	μB per cell
calculated formation energy	-273	meV/atom
final energy	-6.461	eV/atom
volume	114.0	Å³/cell

Question: Number 2 is which compound?
Answer: SmTh2Pd

Question: Number 3 is which compound?
Answer: Rb2Ga2F

Question: Which value of size of the total moment does entry 4 give?
Answer: 8.00 μB per cell